Compound: Tm2P6Pd21
Source: Alexandria via LeMat-Bulk
Functional: GGA-PBE
Structure: relaxed

Structure (POSCAR):
```
Tm2P6Pd21
1.0
7.452 0.000 4.302
2.484 7.026 4.302
0.000 0.000 8.605
Pd Tm P
21 2 6
Cartesian
0.000 0.000 0.000
2.571 0.000 7.120
1.627 4.602 5.787
4.198 4.602 4.302
4.968 5.950 8.605
4.881 0.000 5.787
1.627 4.602 2.818
0.857 2.424 1.484
3.819 2.701 10.595
2.571 0.000 1.484
7.266 2.701 8.605
0.000 0.000 5.636
5.738 2.424 4.302
3.819 2.701 6.615
4.968 1.076 8.605
4.881 0.000 2.818
0.000 0.000 2.969
2.670 4.325 8.605
6.117 4.325 10.595
6.117 4.325 6.615
0.857 2.424 7.120
7.452 5.269 12.907
2.484 1.756 4.302
2.591 1.832 8.605
3.780 5.194 6.547
3.780 5.194 10.663
6.156 1.832 10.663
6.156 1.832 6.547
7.345 5.194 8.605
```

Output
Uncorrected energy: -5.8310 eV/atom

---

Compound: Tm2PPd8
Source: Alexandria via LeMat-Bulk
Functional: GGA-PBE
Structure: relaxed

Structure (POSCAR):
```
Tm2PPd8
1.0
5.781 1.388 1.154
1.942 6.585 0.297
1.942 1.496 6.420
Pd P Tm
8 1 2
Cartesian
6.440 5.113 4.250
4.257 6.287 5.226
6.211 3.101 5.832
3.225 4.356 3.621
3.454 6.369 2.039
5.408 3.182 2.645
6.211 6.300 1.982
3.454 3.169 5.889
0.000 0.000 0.000
2.809 2.272 1.888
6.856 7.197 5.982
```

Output
Uncorrected energy: -5.5098 eV/atom

---

Compound: TmP4Pd12
Source: Alexandria via LeMat-Bulk
Functional: GGA-PBE
Structure: relaxed

Structure (POSCAR):
```
TmP4Pd12
1.0
7.211 0.000 0.000
-2.404 6.799 0.000
-2.404 -3.399 5.888
Pd P Tm
12 4 1
Cartesian
-1.617 4.519 1.958
0.008 -1.713 4.893
-0.008 3.381 3.929
4.799 1.705 0.963
0.786 2.836 0.995
-0.786 0.556 2.954
2.412 0.019 1.958
2.396 5.112 0.995
-2.396 1.694 4.925
1.617 0.563 4.893
3.190 2.843 2.934
4.021 -1.119 3.929
1.202 1.700 2.944
-1.202 -1.700 2.944
-1.202 3.399 0.000
3.606 0.000 0.000
0.000 0.000 0.000
```

Output
Uncorrected energy: -5.6574 eV/atom

---

Compound: TmP3Pd5
Source: Alexandria via LeMat-Bulk
Functional: GGA-PBE
Structure: relaxed

Structure (POSCAR):
```
TmP3Pd5
1.0
3.845 0.000 0.000
-1.923 6.814 0.000
0.000 0.000 11.647
Pd P Tm
10 6 2
Cartesian
0.000 3.336 6.835
1.923 3.478 4.812
0.000 0.000 0.000
0.000 5.495 4.269
1.923 1.319 10.092
0.000 3.336 10.635
0.000 5.495 1.555
0.000 0.000 5.823
1.923 3.478 1.012
1.923 1.319 7.378
0.000 2.019 8.735
1.923 1.191 4.918
0.000 5.623 6.729
1.923 1.191 0.905
1.923 4.794 2.912
0.000 5.623 10.741
1.923 5.418 8.735
0.000 1.396 2.912
```

Output
Uncorrected energy: -5.7928 eV/atom

---

Compound: Tm3P6Pd20
Source: Alexandria via LeMat-Bulk
Functional: GGA-PBE
Structure: relaxed

Structure (POSCAR):
```
Tm3P6Pd20
1.0
8.650 0.000 0.000
4.325 7.491 0.000
4.325 2.497 7.063
Pd P Tm
20 6 3
Cartesian
2.834 4.909 0.000
2.982 0.000 0.000
8.650 7.317 2.710
7.159 0.861 2.435
8.650 4.994 1.068
6.639 6.156 4.353
2.834 1.636 4.628
4.325 4.219 4.628
8.650 4.994 5.995
5.816 4.909 0.000
1.491 0.861 2.435
1.491 2.583 0.000
10.662 6.156 4.353
4.325 5.770 2.435
10.662 3.833 2.710
7.159 2.583 0.000
5.816 1.636 4.628
8.650 2.671 4.353
5.668 0.000 0.000
6.639 3.833 2.710
10.695 3.814 5.201
8.650 7.355 5.201
6.606 3.814 5.201
10.695 6.175 1.862
8.650 2.634 1.862
6.606 6.175 1.862
12.976 7.491 5.297
0.000 0.000 0.000
4.325 2.497 1.766
```

Output
Uncorrected energy: -5.8897 eV/atom

---

Compound: TmP2Pd5
Source: Alexandria via LeMat-Bulk
Functional: GGA-PBE
Structure: relaxed

Structure (POSCAR):
```
TmP2Pd5
1.0
-1.816 -2.362 2.691
1.794 1.652 5.655
-4.456 3.201 2.796
Pd P Tm
5 2 1
Cartesian
-1.331 2.426 4.225
-0.857 -0.160 5.270
-1.114 2.030 7.019
-3.622 2.651 5.872
-3.365 0.461 4.124
-3.362 1.894 8.377
-1.117 0.597 2.765
0.000 0.000 0.000
```

Output
Uncorrected energy: -5.8632 eV/atom

---

Compound: U4P5Pd
Source: Alexandria via LeMat-Bulk
Functional: GGA-PBE
Structure: relaxed

Structure (POSCAR):
```
U4P5Pd
1.0
-0.319 -3.853 -0.711
0.811 -1.412 -3.578
14.482 -3.678 2.574
U P Pd
4 5 1
Cartesian
13.285 -6.983 -0.712
9.873 -3.059 1.285
5.101 -5.884 -3.000
1.689 -1.960 -1.003
0.000 0.000 0.000
8.819 -6.383 -1.960
3.403 -3.923 -1.999
6.156 -2.560 0.246
11.571 -5.020 0.285
7.487 -4.471 -0.857
```

Output
Uncorrected energy: -8.5575 eV/atom

---

Compound: U3P4Pd7
Source: Alexandria via LeMat-Bulk
Functional: GGA-PBE
Structure: relaxed

Structure (POSCAR):
```
U3P4Pd7
1.0
3.851 0.000 0.971
1.411 7.294 2.524
-0.070 -0.088 8.397
Pd U P
7 3 4
Cartesian
3.056 5.608 4.121
0.000 0.000 0.000
2.135 1.597 7.771
3.703 2.859 9.675
2.801 0.976 5.131
1.488 4.347 2.218
2.390 6.230 6.761
1.450 1.369 2.368
3.741 5.837 9.524
0.670 3.603 5.460
0.509 0.723 6.099
4.682 6.483 5.793
2.094 4.082 7.935
3.097 3.124 3.957
```

Output
Uncorrected energy: -7.2277 eV/atom